The following is a DFT calculation (PBE) of an optimized crystal structure of Mn2TlCd.

As for the spin magnetization: 14.35 μB/cell. The calculation puts the volume at 151.0 Å³/cell. The formation energy comes out at 0.4268 eV/atom. Its crystal system is monoclinic.

It has space group Cm (No. 8), with a = 10.9872 Å, b = 3.1792 Å, c = 4.7529 Å, α = 90.00°, β = 114.56° and γ = 90.00°. The distinct sites, in fractional coordinates, are Mn at (0.0000, 0.0000, 0.0000), Mn at (0.2225, 0.5000, 0.2622), Tl at (0.4818, 0.0000, 0.4838) and Cd at (0.2503, 0.0000, 0.7899).

=====

The following is a DFT calculation (PBE) of an optimized crystal structure of HfCd2Pd.

As for the spin magnetization: 0.00 μB/cell. The calculation puts the volume at 77.5 Å³/cell. The formation energy comes out at -0.1582 eV/atom. Its crystal system is tetragonal.

It has space group P4/mmm (No. 123), with a = 3.2872 Å, b = 3.2872 Å, c = 7.1688 Å, α = 90.00°, β = 90.00° and γ = 90.00°. The distinct sites, in fractional coordinates, are Hf at (0.0000, 0.0000, 0.0000), Cd at (0.5000, 0.5000, 0.2773) and Pd at (0.0000, 0.0000, 0.5000).

=====

The following is a DFT calculation (PBE) of an optimized crystal structure of AcLaSeN.

As for the spin magnetization: 0.00 μB/cell. The value obtained for the energy relative to the elements, uncorrected is -1.56 eV per atom. The calculation puts the volume at 293.4 Å³/cell. Its crystal system is trigonal.

It has space group R3m (No. 160, hexagonal axes), with a = 3.9947 Å, b = 3.9947 Å, c = 21.2284 Å, α = 90.00°, β = 90.00° and γ = 120.00°. The distinct sites, in fractional coordinates, are Ac at (0.0000, 0.0000, 0.0000), La at (0.0000, 0.0000, 0.5304), Se at (0.0000, 0.0000, 0.7686) and N at (0.0000, 0.0000, 0.2614).

=====

The following is a DFT calculation (PBE) of an optimized crystal structure of TbFeGeH.

As for the spin magnetization: 2.88 μB/cell. The calculation puts the volume at 114.8 Å³/cell. Its crystal system is tetragonal. Its total energy is -5.8557 eV per atom.

It has space group P4/nmm (No. 129, origin choice 2), with a = 3.8766 Å, b = 3.8766 Å, c = 7.6366 Å, α = 90.00°, β = 90.00° and γ = 90.00°. The distinct sites, in fractional coordinates, are Tb at (0.2500, 0.2500, 0.1590), Fe at (0.2500, 0.7500, 0.5000), Ge at (0.2500, 0.2500, 0.6855) and H at (0.2500, 0.7500, 0.0000).

=====

The following is a DFT calculation (PBE) of an optimized crystal structure of Pm6GaC2.

As for the spin magnetization: 0.00 μB/cell. The calculation puts the volume at 493.6 Å³/cell. The formation energy comes out at -0.0893 eV/atom. Its crystal system is monoclinic.

It has space group C2/m (No. 12), with a = 13.3451 Å, b = 5.1903 Å, c = 8.8952 Å, α = 90.00°, β = 126.77° and γ = 90.00°. The distinct sites, in fractional coordinates, are Pm at (0.0317, 0.0000, 0.1993), Pm at (0.1534, 0.5000, 0.5851), Pm at (0.1965, 0.5000, 0.0635), Ga at (0.0000, 0.0000, 0.5000) and C at (0.1813, 0.0000, 0.0798).

=====

The following is a DFT calculation (PBE) of an optimized crystal structure of Nd6ZnIn.

As for the spin magnetization: 0.00 μB/cell. The calculation puts the volume at 502.5 Å³/cell. The formation energy comes out at -0.1740 eV/atom. For the energy above the lowest structure with this stoichiometry, the calculation gives 0.000 eV/atom. Its crystal system is tetragonal.

It has space group I4/mmm (No. 139), with a = 5.2507 Å, b = 5.2507 Å, c = 18.2250 Å, α = 90.00°, β = 90.00° and γ = 90.00°. The distinct sites, in fractional coordinates, are Nd at (0.0000, 0.0000, 0.2491), Nd at (0.0000, 0.5000, 0.1083), Zn at (0.0000, 0.0000, 0.5000) and In at (0.0000, 0.0000, 0.0000).

=====

What did the fifth record say?
The following is a DFT calculation (PBE) of an optimized crystal structure of Pm6GaC2.

As for the spin magnetization: 0.00 μB/cell. The calculation puts the volume at 493.6 Å³/cell. The formation energy comes out at -0.0893 eV/atom. Its crystal system is monoclinic.

It has space group C2/m (No. 12), with a = 13.3451 Å, b = 5.1903 Å, c = 8.8952 Å, α = 90.00°, β = 126.77° and γ = 90.00°. The distinct sites, in fractional coordinates, are Pm at (0.0317, 0.0000, 0.1993), Pm at (0.1534, 0.5000, 0.5851), Pm at (0.1965, 0.5000, 0.0635), Ga at (0.0000, 0.0000, 0.5000) and C at (0.1813, 0.0000, 0.0798).

=====

Q: The lowest volume belongs to which entry?
A: HfCd2Pd

=====

What did the sixth record say?
The following is a DFT calculation (PBE) of an optimized crystal structure of Nd6ZnIn.

As for the spin magnetization: 0.00 μB/cell. The calculation puts the volume at 502.5 Å³/cell. The formation energy comes out at -0.1740 eV/atom. For the energy above the lowest structure with this stoichiometry, the calculation gives 0.000 eV/atom. Its crystal system is tetragonal.

It has space group I4/mmm (No. 139), with a = 5.2507 Å, b = 5.2507 Å, c = 18.2250 Å, α = 90.00°, β = 90.00° and γ = 90.00°. The distinct sites, in fractional coordinates, are Nd at (0.0000, 0.0000, 0.2491), Nd at (0.0000, 0.5000, 0.1083), Zn at (0.0000, 0.0000, 0.5000) and In at (0.0000, 0.0000, 0.0000).